## Nd6SiRu2Br3 (PBE)

Data for an optimized crystal structure of Nd6SiRu2Br3.

a = 7.252 Å, b = 7.252 Å, c = 8.075 Å
α = 98.65°, β = 98.65°, γ = 120.07°
Fractional positions:
Nd: 0.085 0.435 0.801
Nd: 0.217 0.217 0.199
Nd: 0.435 0.085 0.801
Nd: 0.565 0.915 0.199
Nd: 0.783 0.783 0.801
Nd: 0.915 0.565 0.199
Si: 0.500 0.500 0.000
Ru: 0.167 0.833 0.000
Ru: 0.833 0.167 0.000
Br: 0.000 0.000 0.500
Br: 0.336 0.664 0.500
Br: 0.664 0.336 0.500

Output
- DFT total energy: -0.208 Ha/atom
- Formation energy from raw total energies: -0.8518 eV/atom